(1)
! SrMo3C, single point on PBEsol structure, DFT SCAN; values from VASP
! symmetry = Pm-3m (221)
! energy of formation from the pure elements = 0.853 eV/atom
&SYSTEM
  ibrav = 0, nat = 5, ntyp = 3
/
ATOMIC_SPECIES
Mo 95.94 Mo.upf
C 12.01 C.upf
Sr 87.62 Sr.upf
CELL_PARAMETERS angstrom
-2.102 3.726 -0.503
-3.696 -1.943 1.057
0.688 0.948 4.145
ATOMIC_POSITIONS angstrom
Mo 0.344 0.474 2.073
Mo -1.848 -0.971 0.529
Mo -1.051 1.863 -0.252
C 0.000 0.000 0.000
Sr -2.555 1.365 2.350



(2)
! Ta2MoC, single point on PBEsol structure, DFT SCAN; values from VASP
! symmetry = P4/mmm (123)
! energy of formation from the pure elements = 0.305 eV/atom
&SYSTEM
  ibrav = 0, nat = 4, ntyp = 3
/
ATOMIC_SPECIES
Mo 95.94 Mo.upf
Ta 180.95 Ta.upf
C 12.01 C.upf
CELL_PARAMETERS angstrom
2.738 0.000 0.000
0.000 2.738 0.000
0.000 0.000 7.379
ATOMIC_POSITIONS angstrom
Mo 1.369 1.369 3.689
Ta 0.000 0.000 1.343
Ta 0.000 0.000 6.036
C 1.369 1.369 0.000



(3)
! TaMo2C, single point on PBEsol structure, DFT SCAN; values from VASP
! symmetry = Cmmm (65)
! energy of formation from the pure elements = 0.279 eV/atom
&SYSTEM
  ibrav = 0, nat = 4, ntyp = 3
/
ATOMIC_SPECIES
Mo 95.94 Mo.upf
C 12.01 C.upf
Ta 180.95 Ta.upf
CELL_PARAMETERS angstrom
2.798 0.011 0.000
-1.095 2.575 0.000
0.000 0.000 7.505
ATOMIC_POSITIONS angstrom
Mo 0.000 0.000 1.436
Mo 0.000 0.000 6.069
C 0.851 1.293 0.000
Ta 0.851 1.293 3.752



What is the formula in the second record? Ta2MoC



Look up the energy of formation from the pure elements of the third one. 0.279 eV/atom